{"formula": "In2NiSb", "functional": "PBE", "state": "optimized geometry", "dft_energy_ev_per_cell": -14.981, "e_form_raw_ev_per_atom": 0.100, "space_group": "No. 166", "crystal_system": "trigonal", "cell": [[1.7100, 0.9873, 8.8098], [-1.7100, 0.9873, 8.8098], [0.0000, -1.9745, 8.8098]], "species": ["In", "In", "Ni", "Sb"], "frac_coords": [[0.2325, 0.2325, 0.2325], [0.7675, 0.7675, 0.7675], [0.5000, 0.5000, 0.5000], [0.0000, 0.0000, 0.0000]]}

=====

{"formula": "LiZrSeN2", "functional": "PBE", "state": "optimized geometry", "dft_energy_ev_per_cell": -26.909, "e_form_raw_ev_per_atom": 0.738, "relative_energy_kj_per_mol_fu": 335.7, "space_group": "No. 123", "crystal_system": "tetragonal", "cell": [[3.8483, 0.0000, 0.0000], [0.0000, 3.8483, 0.0000], [0.0000, 0.0000, 4.3161]], "species": ["Li", "Zr", "Se", "N", "N"], "frac_coords": [[0.0000, 0.0000, 0.0000], [0.5000, 0.5000, 0.5000], [0.0000, 0.0000, 0.5000], [0.0000, 0.5000, 0.0000], [0.5000, 0.0000, 0.0000]]}